12
Lattice="3.943 0.000 0.000 -1.972 3.415 0.000 0.000 0.000 22.622" Properties=species:S:1:pos:R:3 comment="LiPa4S7 (PBE, optimized geometry)" raw_formation_energy_ev_per_atom=-1.55 space_group="P-3m1, No. 164" total_magnetization_mub_per_cell=3.0 pbc="T T T"
Li 0.000 0.000 11.311
Pa 1.972 1.138 1.538
Pa 0.000 2.277 21.084
Pa 1.972 1.138 8.161
Pa 0.000 2.277 14.461
S 0.000 0.000 0.000
S 1.972 1.138 12.824
S 0.000 2.277 9.798
S 1.972 1.138 19.601
S 0.000 2.277 3.021
S 0.000 0.000 6.711
S 0.000 0.000 15.911